Below is Ba6Na2Mn2Nb2O17 at its PBEsol-relaxed geometry, with properties calculated at the meta-GGA SCAN level.

Cell: 5.8753 5.8753 29.9976 Å, 90.00 90.00 120.00°
Closest atoms and distances in Å follow each position.
Atoms (fractional coordinates):
Ba: 0.3333 0.6667 0.3196  9 O 2.77-2.96
Ba: 0.6667 0.3333 0.6804  9 O 2.77-2.96
Ba: 0.6667 0.3333 0.8196  9 O 2.77-2.96
Ba: 0.3333 0.6667 0.1804  9 O 2.77-2.96
Ba: 0.0000 0.0000 0.5000  6 O 2.81
Ba: 0.0000 0.0000 0.0000  6 O 2.81
Ba: 0.3333 0.6667 0.9103  1 O 2.57
Ba: 0.6667 0.3333 0.0897  1 O 2.57
Ba: 0.6667 0.3333 0.4103  1 O 2.57
Ba: 0.3333 0.6667 0.5897  1 O 2.57
Ba: 0.0000 0.0000 0.2500  12 O 2.94-3.00
Ba: 0.0000 0.0000 0.7500  12 O 2.94-3.00
Na: 0.0000 0.0000 0.3769  6 O 2.23-2.37
Na: 0.0000 0.0000 0.6231  6 O 2.23-2.37
Na: 0.0000 0.0000 0.8769  6 O 2.23-2.37
Na: 0.0000 0.0000 0.1231  6 O 2.23-2.37
Mn: 0.3333 0.6667 0.4483  4 O 1.67-1.70
Mn: 0.6667 0.3333 0.5517  4 O 1.67-1.70
Mn: 0.6667 0.3333 0.9483  4 O 1.67-1.70
Mn: 0.3333 0.6667 0.0517  4 O 1.67-1.70
Nb: 0.3333 0.6667 0.7988  3 O 1.90
Nb: 0.6667 0.3333 0.2012  3 O 1.90
Nb: 0.6667 0.3333 0.2988  3 O 1.90
Nb: 0.3333 0.6667 0.7012  3 O 1.90
O: 0.3333 0.6667 0.9960  1 Mn 1.67
O: 0.6667 0.3333 0.0040  1 Mn 1.67
O: 0.6667 0.3333 0.4960  1 Mn 1.67
O: 0.3333 0.6667 0.5040  1 Mn 1.67
O: 0.6543 0.8271 0.8311  1 Nb 1.90
O: 0.3457 0.1729 0.1689  1 Nb 1.90
O: 0.1729 0.3457 0.8311  1 Nb 1.90
O: 0.3457 0.1729 0.3311  1 Nb 1.90
O: 0.8271 0.6543 0.1689  1 Nb 1.90
O: 0.6543 0.8271 0.6689  1 Nb 1.90
O: 0.1729 0.8271 0.8311  1 Nb 1.90
O: 0.8271 0.6543 0.3311  1 Nb 1.90
O: 0.8271 0.1729 0.1689  1 Nb 1.90
O: 0.1729 0.3457 0.6689  1 Nb 1.90
O: 0.8271 0.1729 0.3311  1 Nb 1.90
O: 0.1729 0.8271 0.6689  1 Nb 1.90
O: 0.9757 0.4878 0.2500  2 Nb 2.15
O: 0.0243 0.5122 0.7500  2 Nb 2.15
O: 0.5122 0.0243 0.2500  2 Nb 2.15
O: 0.4878 0.9757 0.7500  2 Nb 2.15
O: 0.5122 0.4878 0.2500  2 Nb 2.15
O: 0.4878 0.5122 0.7500  2 Nb 2.15
O: 0.6462 0.8231 0.4283  1 Mn 1.70
O: 0.3538 0.1769 0.5717  1 Mn 1.70
O: 0.1769 0.3538 0.4283  1 Mn 1.70
O: 0.3538 0.1769 0.9283  1 Mn 1.70
O: 0.8231 0.6462 0.5717  1 Mn 1.70
O: 0.6462 0.8231 0.0717  1 Mn 1.70
O: 0.1769 0.8231 0.4283  1 Mn 1.70
O: 0.8231 0.6462 0.9283  1 Mn 1.70
O: 0.8231 0.1769 0.5717  1 Mn 1.70
O: 0.1769 0.3538 0.0717  1 Mn 1.70
O: 0.8231 0.1769 0.9283  1 Mn 1.70
O: 0.1769 0.8231 0.0717  1 Mn 1.70

Results
formation energy (no corrections): -2.73 eV/atom
N(E_F): 0.00 states/eV per atom
total energy: -533.72 eV per formula unit